Entry 1:
The following is a DFT calculation (GGA-PBE) of crystalline Sn2HgPt2 at its relaxed geometry.

```
Sn2HgPt2
1.0
-1.513 3.661 0.534
-2.909 -1.533 2.272
2.034 1.939 7.429
Sn Hg Pt
2 1 2
direct
0.624 0.624 0.751
0.376 0.376 0.249
0.000 0.000 0.000
0.750 0.250 0.500
0.250 0.750 0.500
```

Output
Its polymorph energy (0 for the lowest one) is 1 meV/atom. For the energy relative to the elements, the calculation gives -0.221 eV per atom. The space group is I4/mmm (139).



Entry 2:
The following is a DFT calculation (GGA-PBE) of crystalline Hf8Al2Tl at its relaxed geometry.

```
Hf8Al2Tl
1.0
-3.920 -1.003 -3.261
5.783 1.116 -4.796
0.087 -6.249 4.316
Hf Al Tl
8 2 1
direct
0.295 0.584 0.584
0.500 0.772 0.228
0.705 0.416 0.416
0.500 0.228 0.772
0.137 0.325 0.088
0.863 0.912 0.675
0.137 0.088 0.325
0.863 0.675 0.912
0.000 0.306 0.694
0.000 0.694 0.306
0.500 0.000 0.000
```

Output
For the energy relative to the elements, the calculation gives 0.049 eV per atom. The space group is C2/m (12).



Entry 3:
The following is a DFT calculation (GGA-PBE) of crystalline BeReHg at its relaxed geometry.

```
BeReHg
1.0
-2.570 1.637 -3.093
3.744 -1.916 -1.077
-1.303 -2.431 -0.204
Hg Re Be
1 1 1
direct
0.333 0.667 0.168
0.667 0.333 0.668
0.000 0.000 0.164
```

Output
Its polymorph energy (0 for the lowest one) is 221 meV/atom. For the energy relative to the elements, the calculation gives 0.803 eV per atom. The space group is P3m1 (156).



Entry 4:
The following is a DFT calculation (GGA-PBE) of crystalline NaPRuPt at its relaxed geometry.

```
NaPRuPt
1.0
-1.372 2.774 2.231
-2.427 1.021 -2.761
-7.312 -6.772 3.924
Ru P Pt Na
2 2 2 2
direct
0.750 0.250 0.000
0.250 0.750 0.000
0.250 0.250 0.124
0.750 0.750 0.876
0.250 0.750 0.500
0.750 0.250 0.500
0.250 0.250 0.725
0.750 0.750 0.275
```

Output
For the energy relative to the elements, the calculation gives -0.275 eV per atom. The space group is P4/nmm (129).



Entry 5:
The following is a DFT calculation (GGA-PBE) of crystalline YCdTe at its relaxed geometry.

```
YCdTe
1.0
6.306 -0.010 0.011
5.136 3.660 0.026
1.170 0.361 3.653
Cd Y Te
1 1 1
direct
0.004 0.004 0.996
0.680 0.680 0.320
0.317 0.317 0.683
```

Output
The value obtained for the formation energy without anion corrections is -615.4 meV per atom. Its polymorph energy (0 for the lowest one) is 184 meV/atom. The space group is I4mm (107).



Entry 6:
The following is a DFT calculation (GGA-PBE) of crystalline SrLa2Os at its relaxed geometry.

```
SrLa2Os
1.0
-3.061 -5.231 -1.010
2.890 0.690 5.462
-2.574 0.734 2.204
Sr La Os
1 2 1
direct
0.500 0.500 0.000
0.500 0.000 0.500
0.000 0.000 0.000
0.000 0.500 0.500
```

Output
Its polymorph energy (0 for the lowest one) is 693 meV/atom. For the energy relative to the elements, the calculation gives 0.632 eV per atom. The space group is C2/m (12).



Number 1: spin magnetization 0.0000 μB per atom. Number 2: spin magnetization 0.0000 μB per atom. Number 3: spin magnetization 0.0006 μB per atom. Number 4: spin magnetization 0.0000 μB per atom. Number 5: spin magnetization 0.0996 μB per atom. Number 6: spin magnetization 0.0000 μB per atom.